This record from Alexandria describes a relaxed NpTl2HgCl6 crystal. The functional is GGA-PBE.

Cell lengths 7.9344, 7.9344, 21.8805 Å; angles 90.00, 90.00, 120.00 degrees
Space group R3 (No. 146, hexagonal axes)
Symmetry-distinct sites (fractional):
Np  0.0000  0.0000  0.0000 [3 per cell]
Tl  0.0000  0.0000  0.1899 [3 per cell]
Tl  0.0000  0.0000  0.6599 [3 per cell]
Hg  0.0000  0.0000  0.4929 [3 per cell]
Cl  0.0243  0.2855  0.9332 [9 per cell]
Cl  0.0934  0.7100  0.7385 [9 per cell]

Properties
Total DFT energy (no corrections): -4.1562 eV/atom
Energy relative to the elements, uncorrected: -1.25 eV/atom